No. 1
# Sr2GaPb (PBE, relaxed)
data_Sr2GaPb
_symmetry_space_group_name_H-M 'P 1'
_symmetry_Int_Tables_number 1
_cell_length_a 7.2799
_cell_length_b 7.2799
_cell_length_c 7.2799
_cell_angle_alpha 105.14
_cell_angle_beta 105.14
_cell_angle_gamma 118.53
loop_
_symmetry_equiv_pos_as_xyz
'x,y,z'
loop_
_atom_site_label
_atom_site_fract_x
_atom_site_fract_y
_atom_site_fract_z
Sr1 0.1088 0.1250 0.4838
Sr2 0.3750 0.8912 0.0162
Sr3 0.6412 0.6250 0.5162
Sr4 0.8750 0.3588 0.9838
Ga1 0.0000 0.0000 0.0000
Ga2 0.7500 0.2500 0.5000
Pb1 0.2500 0.7500 0.5000
Pb2 0.5000 0.5000 0.0000
# * ΔH_f (0 K): -0.11 eV per atom
# * size of the total moment: 0.0 μB/f.u.
# * space group: I-42d

No. 2
# Sr3GaPb (PBE, relaxed)
data_Sr3GaPb
_symmetry_space_group_name_H-M 'P 1'
_symmetry_Int_Tables_number 1
_cell_length_a 6.0332
_cell_length_b 6.0332
_cell_length_c 6.0332
_cell_angle_alpha 90.00
_cell_angle_beta 90.00
_cell_angle_gamma 90.00
loop_
_symmetry_equiv_pos_as_xyz
'x,y,z'
loop_
_atom_site_label
_atom_site_fract_x
_atom_site_fract_y
_atom_site_fract_z
Sr1 0.0000 0.0000 0.5000
Sr2 0.0000 0.5000 0.0000
Sr3 0.5000 0.0000 0.0000
Ga1 0.0000 0.0000 0.0000
Pb1 0.5000 0.5000 0.5000
# * ΔH_f (0 K): -0.09 eV per atom
# * size of the total moment: 1.5 μB/f.u.
# * space group: Pm-3m

No. 3
# Sr2Ga2Pb (PBE, relaxed)
data_Sr2Ga2Pb
_symmetry_space_group_name_H-M 'P 1'
_symmetry_Int_Tables_number 1
_cell_length_a 7.7574
_cell_length_b 7.7574
_cell_length_c 4.9510
_cell_angle_alpha 90.00
_cell_angle_beta 90.00
_cell_angle_gamma 90.00
loop_
_symmetry_equiv_pos_as_xyz
'x,y,z'
loop_
_atom_site_label
_atom_site_fract_x
_atom_site_fract_y
_atom_site_fract_z
Sr1 0.1801 0.3199 0.0000
Sr2 0.3199 0.8199 0.0000
Sr3 0.6801 0.1801 0.0000
Sr4 0.8199 0.6801 0.0000
Ga1 0.1178 0.6178 0.5000
Ga2 0.3822 0.1178 0.5000
Ga3 0.6178 0.8822 0.5000
Ga4 0.8822 0.3822 0.5000
Pb1 0.0000 0.0000 0.5000
Pb2 0.5000 0.5000 0.5000
# * ΔH_f (0 K): -0.42 eV per atom
# * size of the total moment: 0.0 μB/f.u.
# * space group: P4/mbm